Below is a relaxed structure of LiHfHgIr, with properties calculated at the PBE level.

Lattice parameters (Å, degrees): 4.6153 4.6153 4.6153 60.00 60.00 60.00
With the nearest neighbours (Å) after each atom.
Fractional coordinates of all 4 atoms:
Hg: 0.7500 0.7500 0.7500  4 Hf 2.83, 4 Li 2.83
Li: 0.0000 0.0000 0.0000  4 Hg 2.83, 4 Ir 2.83
Ir: 0.2500 0.2500 0.2500  4 Li 2.83, 4 Hf 2.83
Hf: 0.5000 0.5000 0.5000  4 Ir 2.83, 4 Hg 2.83

Results
Calculated formation energy: -310 meV per atom
Space-group type: No. 216

***

Below is a relaxed structure of Cs12Hg3S5, with properties calculated at the PBE level.

Lattice parameters (Å, degrees): 18.6692 18.6692 18.6692 109.47 109.47 109.47
With the nearest neighbours (Å) after each atom.
Fractional coordinates of all 80 atoms:
S: 0.0000 0.0000 0.5000  6 Cs 3.41
S: 0.5000 0.5000 0.5000  6 Cs 3.41
S: 0.1250 0.7500 0.3750  4 Cs 3.24
S: 0.5000 0.0000 0.0000  6 Cs 3.41
S: 0.7500 0.6250 0.3750  4 Cs 3.24
S: 0.0000 0.5000 0.5000  6 Cs 3.41
S: 0.2500 0.3750 0.6250  4 Cs 3.24
S: 0.6250 0.7500 0.8750  4 Cs 3.24
S: 0.2500 0.8750 0.1250  4 Cs 3.24
S: 0.5000 0.0000 0.5000  6 Cs 3.41
S: 0.8750 0.6250 0.7500  4 Cs 3.24
S: 0.3750 0.1250 0.7500  4 Cs 3.24
S: 0.0000 0.0000 0.0000  6 Cs 3.41
S: 0.7500 0.1250 0.8750  4 Cs 3.24
S: 0.0000 0.5000 0.0000  6 Cs 3.41
S: 0.8750 0.2500 0.6250  4 Cs 3.24
S: 0.3750 0.2500 0.1250  4 Cs 3.24
S: 0.6250 0.8750 0.2500  4 Cs 3.24
S: 0.1250 0.3750 0.2500  4 Cs 3.24
S: 0.5000 0.5000 0.0000  6 Cs 3.41
Cs: 0.7996 0.4786 0.3927  2 S 3.24-3.41
Cs: 0.9141 0.8210 0.5214  2 S 3.24-3.41
Cs: 0.8927 0.5932 0.9141  2 S 3.24-3.41
Cs: 0.5859 0.6073 0.4068  2 S 3.24-3.41
Cs: 0.0214 0.4141 0.8210  2 S 3.24-3.41
Cs: 0.1073 0.7004 0.5214  2 S 3.24-3.41
Cs: 0.9068 0.8210 0.7996  2 S 3.24-3.41
Cs: 0.8210 0.9068 0.2996  2 S 3.24-3.41
Cs: 0.2996 0.8927 0.9786  2 S 3.24-3.41
Cs: 0.6790 0.2004 0.5932  2 S 3.24-3.41
Cs: 0.7004 0.1073 0.0214  2 S 3.24-3.41
Cs: 0.1790 0.0859 0.9786  2 S 3.24-3.41
Cs: 0.5859 0.9786 0.6790  2 S 3.24-3.41
Cs: 0.0932 0.1790 0.2004  2 S 3.24-3.41
Cs: 0.3210 0.5214 0.4141  2 S 3.24-3.41
Cs: 0.2004 0.6790 0.0932  2 S 3.24-3.41
Cs: 0.9786 0.3927 0.2996  2 S 3.24-3.41
Cs: 0.3210 0.7996 0.4068  2 S 3.24-3.41
Cs: 0.7004 0.5932 0.1790  2 S 3.24-3.41
Cs: 0.0214 0.6073 0.7004  2 S 3.24-3.41
Cs: 0.3927 0.4141 0.0932  2 S 3.24-3.41
Cs: 0.2996 0.4068 0.8210  2 S 3.24-3.41
Cs: 0.9068 0.0859 0.6073  2 S 3.24-3.41
Cs: 0.9141 0.0932 0.8927  2 S 3.24-3.41
Cs: 0.3927 0.9786 0.7996  2 S 3.24-3.41
Cs: 0.0859 0.9068 0.1073  2 S 3.24-3.41
Cs: 0.1073 0.4068 0.0859  2 S 3.24-3.41
Cs: 0.0932 0.9141 0.3927  2 S 3.24-3.41
Cs: 0.2004 0.5214 0.6073  2 S 3.24-3.41
Cs: 0.6073 0.0214 0.2004  2 S 3.24-3.41
Cs: 0.6790 0.4786 0.5859  2 S 3.24-3.41
Cs: 0.8927 0.2996 0.4786  2 S 3.24-3.41
Cs: 0.4068 0.1073 0.5859  2 S 3.24-3.41
Cs: 0.4141 0.0214 0.3210  2 S 3.24-3.41
Cs: 0.4786 0.6790 0.0859  2 S 3.24-3.41
Cs: 0.4786 0.7996 0.8927  2 S 3.24-3.41
Cs: 0.5932 0.8927 0.4141  2 S 3.24-3.41
Cs: 0.7996 0.3210 0.9068  2 S 3.24-3.41
Cs: 0.6073 0.5859 0.9068  2 S 3.24-3.41
Cs: 0.1790 0.0932 0.7004  2 S 3.24-3.41
Cs: 0.8210 0.9141 0.0214  2 S 3.24-3.41
Cs: 0.5214 0.2004 0.1073  2 S 3.24-3.41
Cs: 0.5932 0.7004 0.6790  2 S 3.24-3.41
Cs: 0.0859 0.1790 0.4786  2 S 3.24-3.41
Cs: 0.4068 0.2996 0.3210  2 S 3.24-3.41
Cs: 0.9786 0.5859 0.1790  2 S 3.24-3.41
Cs: 0.4141 0.3927 0.5932  2 S 3.24-3.41
Cs: 0.5214 0.3210 0.9141  2 S 3.24-3.41
Hg: 0.1250 0.2500 0.8750  8 Cs 4.24-4.34
Hg: 0.2500 0.6250 0.8750  8 Cs 4.24-4.34
Hg: 0.7500 0.8750 0.6250  8 Cs 4.24-4.34
Hg: 0.3750 0.7500 0.6250  8 Cs 4.24-4.34
Hg: 0.2500 0.1250 0.3750  8 Cs 4.24-4.34
Hg: 0.8750 0.7500 0.1250  8 Cs 4.24-4.34
Hg: 0.6250 0.3750 0.7500  8 Cs 4.24-4.34
Hg: 0.6250 0.2500 0.3750  8 Cs 4.24-4.34
Hg: 0.3750 0.6250 0.2500  8 Cs 4.24-4.34
Hg: 0.1250 0.8750 0.7500  8 Cs 4.24-4.34
Hg: 0.8750 0.1250 0.2500  8 Cs 4.24-4.34
Hg: 0.7500 0.3750 0.1250  8 Cs 4.24-4.34

Results
Space-group type: No. 230

***

Below is a relaxed structure of Fe3W2, with properties calculated at the PBE level.

Lattice parameters (Å, degrees): 7.2071 6.4897 4.8720 77.29 61.45 41.26
With the nearest neighbours (Å) after each atom.
Fractional coordinates of all 10 atoms:
W: 0.4171 0.4842 0.2423  7 Fe 2.45-2.73
W: 0.8565 0.2423 0.4842  7 Fe 2.45-2.73
W: 0.7658 0.8329 0.3935  7 Fe 2.45-2.73
W: 0.0077 0.3935 0.8329  7 Fe 2.45-2.73
Fe: 0.4151 0.8023 0.4767  4 Fe 2.32-2.47, 3 W 2.45-2.56
Fe: 0.2554 0.2446 0.2446  4 Fe 2.32-2.39, 4 W 2.46-2.55
Fe: 0.3059 0.4767 0.8023  4 Fe 2.32-2.47, 3 W 2.45-2.56
Fe: 0.0054 0.9946 0.9946  4 Fe 2.32-2.39, 4 W 2.46-2.55
Fe: 0.4477 0.8349 0.9441  4 Fe 2.32-2.47, 3 W 2.45-2.56
Fe: 0.7733 0.9441 0.8349  4 Fe 2.32-2.47, 3 W 2.45-2.56

Results
Excess energy over the best structure of this formula in the dataset: 0.00 eV/f.u.
Calculated formation energy: 180 meV per atom
Space-group type: No. 43

***

Below is a relaxed structure of SrFeOs, with properties calculated at the PBE level.

Lattice parameters (Å, degrees): 5.8516 4.2509 5.8501 111.28 93.06 68.72
With the nearest neighbours (Å) after each atom.
Fractional coordinates of all 6 atoms:
Sr: 0.5596 0.2512 0.5884  6 Os 3.12-3.42, 6 Fe 3.15-3.45
Sr: 0.9211 0.7513 0.9500  6 Os 3.12-3.42, 6 Fe 3.15-3.45
Os: 0.1574 0.9073 0.4982  1 Fe 2.27, 2 Os 2.43
Os: 0.0115 0.4072 0.3522  1 Fe 2.27, 2 Os 2.43
Fe: 0.4593 0.5983 0.1825  1 Os 2.27, 2 Fe 2.38
Fe: 0.3270 0.0984 0.0500  1 Os 2.27, 2 Fe 2.38

Results
Excess energy over the best structure of this formula in the dataset: 0.65 eV/f.u.
Calculated formation energy: 499 meV per atom
Space-group type: No. 46

***

Below is a relaxed structure of LaDy3Bi2, with properties calculated at the PBE level.

Lattice parameters (Å, degrees): 4.4171 10.8949 10.0100 124.58 90.00 101.70
With the nearest neighbours (Å) after each atom.
Fractional coordinates of all 12 atoms:
Dy: 0.6889 0.3777 0.4907  3 Bi 3.18-3.29, 4 Dy 3.34-3.38
Dy: 0.6370 0.2739 0.7974  4 Bi 3.26-3.41, 2 Dy 3.64
Dy: 0.0580 0.1160 0.4452  3 Bi 3.12-3.43, 3 Dy 3.24-3.38
Dy: 0.3630 0.7261 0.2026  4 Bi 3.26-3.41, 2 Dy 3.64
Dy: 0.3111 0.6223 0.5093  3 Bi 3.18-3.29, 4 Dy 3.34-3.38
Dy: 0.9420 0.8840 0.5548  3 Bi 3.12-3.43, 3 Dy 3.24-3.38
Bi: 0.5135 0.0270 0.1835  4 Dy 3.12-3.33, 4 La 3.36-3.47, 1 Bi 3.37
Bi: 0.4865 0.9730 0.8165  4 Dy 3.12-3.33, 4 La 3.36-3.47, 1 Bi 3.37
Bi: 0.2456 0.4912 0.7843  6 Dy 3.26-3.43, 2 La 3.37
Bi: 0.7544 0.5088 0.2157  6 Dy 3.26-3.43, 2 La 3.37
La: 0.1121 0.2242 0.1002  6 Bi 3.36-3.47
La: 0.8879 0.7758 0.8998  6 Bi 3.36-3.47

Results
Calculated formation energy: -528 meV per atom
Space-group type: No. 12

***

Below is a relaxed structure of La3Ti5Se12, with properties calculated at the PBE level.

Lattice parameters (Å, degrees): 14.0169 14.0169 14.0169 109.47 109.47 109.47
With the nearest neighbours (Å) after each atom.
Fractional coordinates of all 80 atoms:
Se: 0.1790 0.0884 0.7072  2 Ti 2.43-2.63
Se: 0.2928 0.4116 0.8210  2 Ti 2.43-2.63
Se: 0.2928 0.8812 0.9719  2 Ti 2.43-2.63
Se: 0.4094 0.0281 0.3210  2 Ti 2.43-2.63
Se: 0.1188 0.7072 0.5281  2 Ti 2.43-2.63
Se: 0.9719 0.5906 0.1790  2 Ti 2.43-2.63
Se: 0.3210 0.7928 0.4116  2 Ti 2.43-2.63
Se: 0.4719 0.7928 0.8812  2 Ti 2.43-2.63
Se: 0.9094 0.8210 0.5281  2 Ti 2.43-2.63
Se: 0.9094 0.0884 0.8812  2 Ti 2.43-2.63
Se: 0.0906 0.9116 0.1188  2 Ti 2.43-2.63
Se: 0.0906 0.1790 0.4719  2 Ti 2.43-2.63
Se: 0.6188 0.5906 0.9116  2 Ti 2.43-2.63
Se: 0.6188 0.0281 0.2072  2 Ti 2.43-2.63
Se: 0.5281 0.3210 0.9094  2 Ti 2.43-2.63
Se: 0.0281 0.4094 0.8210  2 Ti 2.43-2.63
Se: 0.5906 0.6188 0.4116  2 Ti 2.43-2.63
Se: 0.4116 0.2928 0.3210  2 Ti 2.43-2.63
Se: 0.8812 0.5884 0.9094  2 Ti 2.43-2.63
Se: 0.8210 0.9116 0.2928  2 Ti 2.43-2.63
Se: 0.6790 0.4719 0.5906  2 Ti 2.43-2.63
Se: 0.1790 0.0906 0.9719  2 Ti 2.43-2.63
Se: 0.0884 0.9094 0.3812  2 Ti 2.43-2.63
Se: 0.3812 0.9719 0.7928  2 Ti 2.43-2.63
Se: 0.7928 0.4719 0.3812  2 Ti 2.43-2.63
Se: 0.0281 0.6188 0.7072  2 Ti 2.43-2.63
Se: 0.6790 0.2072 0.5884  2 Ti 2.43-2.63
Se: 0.4116 0.1188 0.5906  2 Ti 2.43-2.63
Se: 0.0884 0.1790 0.2072  2 Ti 2.43-2.63
Se: 0.5281 0.2072 0.1188  2 Ti 2.43-2.63
Se: 0.4094 0.3812 0.5884  2 Ti 2.43-2.63
Se: 0.4719 0.6790 0.0906  2 Ti 2.43-2.63
Se: 0.5884 0.7072 0.6790  2 Ti 2.43-2.63
Se: 0.1188 0.4116 0.0906  2 Ti 2.43-2.63
Se: 0.2072 0.5281 0.6188  2 Ti 2.43-2.63
Se: 0.2072 0.6790 0.0884  2 Ti 2.43-2.63
Se: 0.8812 0.2928 0.4719  2 Ti 2.43-2.63
Se: 0.3210 0.5281 0.4094  2 Ti 2.43-2.63
Se: 0.9719 0.3812 0.2928  2 Ti 2.43-2.63
Se: 0.5906 0.9719 0.6790  2 Ti 2.43-2.63
Se: 0.3812 0.4094 0.0884  2 Ti 2.43-2.63
Se: 0.9116 0.8210 0.7928  2 Ti 2.43-2.63
Se: 0.7928 0.3210 0.9116  2 Ti 2.43-2.63
Se: 0.9116 0.0906 0.6188  2 Ti 2.43-2.63
Se: 0.5884 0.8812 0.4094  2 Ti 2.43-2.63
Se: 0.7072 0.5884 0.1790  2 Ti 2.43-2.63
Se: 0.8210 0.9094 0.0281  2 Ti 2.43-2.63
Se: 0.7072 0.1188 0.0281  2 Ti 2.43-2.63
La: 0.3750 0.7500 0.6250  8 Se 3.14-3.17
La: 0.8750 0.7500 0.1250  8 Se 3.14-3.17
La: 0.1250 0.8750 0.7500  8 Se 3.14-3.17
La: 0.6250 0.2500 0.3750  8 Se 3.14-3.17
La: 0.7500 0.8750 0.6250  8 Se 3.14-3.17
La: 0.7500 0.3750 0.1250  8 Se 3.14-3.17
La: 0.8750 0.1250 0.2500  8 Se 3.14-3.17
La: 0.2500 0.1250 0.3750  8 Se 3.14-3.17
La: 0.1250 0.2500 0.8750  8 Se 3.14-3.17
La: 0.6250 0.3750 0.7500  8 Se 3.14-3.17
La: 0.2500 0.6250 0.8750  8 Se 3.14-3.17
La: 0.3750 0.6250 0.2500  8 Se 3.14-3.17
Ti: 0.0000 0.5000 0.0000  6 Se 2.63
Ti: 0.3750 0.2500 0.1250  4 Se 2.43
Ti: 0.7500 0.6250 0.3750  4 Se 2.43
Ti: 0.0000 0.5000 0.5000  6 Se 2.63
Ti: 0.3750 0.1250 0.7500  4 Se 2.43
Ti: 0.0000 0.0000 0.0000  6 Se 2.63
Ti: 0.1250 0.7500 0.3750  4 Se 2.43
Ti: 0.2500 0.8750 0.1250  4 Se 2.43
Ti: 0.5000 0.5000 0.0000  6 Se 2.63
Ti: 0.0000 0.0000 0.5000  6 Se 2.63
Ti: 0.7500 0.1250 0.8750  4 Se 2.43
Ti: 0.1250 0.3750 0.2500  4 Se 2.43
Ti: 0.5000 0.0000 0.5000  6 Se 2.63
Ti: 0.2500 0.3750 0.6250  4 Se 2.43
Ti: 0.5000 0.5000 0.5000  6 Se 2.63
Ti: 0.6250 0.8750 0.2500  4 Se 2.43
Ti: 0.5000 0.0000 0.0000  6 Se 2.63
Ti: 0.6250 0.7500 0.8750  4 Se 2.43
Ti: 0.8750 0.6250 0.7500  4 Se 2.43
Ti: 0.8750 0.2500 0.6250  4 Se 2.43

Results
Space-group type: No. 230

***

Below is a relaxed structure of KMo2Os, with properties calculated at the PBE level.

Lattice parameters (Å, degrees): 4.5748 4.5748 4.5748 60.00 60.00 60.00
With the nearest neighbours (Å) after each atom.
Fractional coordinates of all 4 atoms:
K: 0.0000 0.0000 0.0000  8 Mo 2.80
Os: 0.5000 0.5000 0.5000  8 Mo 2.80
Mo: 0.7500 0.7500 0.7500  4 K 2.80, 4 Os 2.80
Mo: 0.2500 0.2500 0.2500  4 K 2.80, 4 Os 2.80

Results
Excess energy over the best structure of this formula in the dataset: 2.51 eV/f.u.
Calculated formation energy: 1401 meV per atom
Space-group type: No. 225

***

Below is a relaxed structure of NaCu2As, with properties calculated at the PBE level.

Lattice parameters (Å, degrees): 3.8952 3.8952 9.2906 90.00 90.00 90.00
With the nearest neighbours (Å) after each atom.
Fractional coordinates of all 8 atoms:
Na: 0.5000 0.0000 0.2285  5 Cu 2.81-3.11, 4 As 2.93
Na: 0.0000 0.5000 0.7715  5 Cu 2.81-3.11, 4 As 2.93
Cu: 0.5000 0.0000 0.9266  1 As 2.44
Cu: 0.0000 0.5000 0.0734  1 As 2.44
Cu: 0.0000 0.0000 0.5000  4 As 2.47, 4 Cu 2.75
Cu: 0.5000 0.5000 0.5000  4 As 2.47, 4 Cu 2.75
As: 0.0000 0.5000 0.3365  5 Cu 2.44-2.47
As: 0.5000 0.0000 0.6635  5 Cu 2.44-2.47

Results
Calculated formation energy: 34 meV per atom
Space-group type: No. 129

***

Below is a relaxed structure of MnInPb, with properties calculated at the PBE level.

Lattice parameters (Å, degrees): 4.7274 4.7274 4.7274 60.00 60.00 60.00
With the nearest neighbours (Å) after each atom.
Fractional coordinates of all 3 atoms:
Mn: 0.7500 0.7500 0.7500  4 In 2.89, 4 Pb 2.89
Pb: 0.0000 0.0000 0.0000  4 Mn 2.89
In: 0.5000 0.5000 0.5000  4 Mn 2.89

Results
Excess energy over the best structure of this formula in the dataset: 0.00 eV/f.u.
Calculated formation energy: 279 meV per atom
Space-group type: No. 216

***

Below is a relaxed structure of Nb2AlC, with properties calculated at the PBE level.

Lattice parameters (Å, degrees): 3.1413 3.1395 7.2780 102.13 90.00 120.02
With the nearest neighbours (Å) after each atom.
Fractional coordinates of all 4 atoms:
C: 0.0000 0.5000 0.5000  6 Nb 2.18-2.19
Nb: 0.7219 0.9437 0.6728  3 C 2.18-2.19
Nb: 0.2781 0.0563 0.3272  3 C 2.18-2.19
Al: 0.5000 0.5000 0.0000  6 Nb 2.92-2.95, 6 Al 3.14

Results
Excess energy over the best structure of this formula in the dataset: 0.41 eV/f.u.
Calculated formation energy: -420 meV per atom
Space-group type: No. 12

***

Below is a relaxed structure of YMgB, with properties calculated at the PBE level.

Lattice parameters (Å, degrees): 6.2762 3.2016 6.1102 89.94 92.79 75.06
With the nearest neighbours (Å) after each atom.
Fractional coordinates of all 6 atoms:
Mg: 0.3873 0.1353 0.0056  3 B 2.36-2.64
Mg: 0.7649 0.9467 0.3493  3 B 2.36-2.63
Y: 0.8543 0.4010 0.8448  3 B 2.64-2.66
Y: 0.2980 0.6781 0.5094  3 B 2.64-2.66
B: 0.0711 0.7920 0.1254  2 B 1.72
B: 0.0810 0.2868 0.2289  2 B 1.72

Results
Excess energy over the best structure of this formula in the dataset: 0.35 eV/f.u.
Calculated formation energy: -159 meV per atom
Space-group type: No. 1

***

Below is a relaxed structure of BeZn, with properties calculated at the PBE level.

Lattice parameters (Å, degrees): 4.9467 4.9467 6.0572 73.16 73.16 29.25
With the nearest neighbours (Å) after each atom.
Fractional coordinates of all 6 atoms:
Be: 0.6015 0.6015 0.2658  4 Be 2.41-2.50, 7 Zn 2.45-2.63
Be: 0.0054 0.0054 0.0028  6 Be 2.41-2.50, 6 Zn 2.44-2.69
Be: 0.6675 0.6675 0.6731  6 Zn 2.44-2.49, 5 Be 2.47-2.72
Zn: 0.2692 0.2692 0.9457  7 Be 2.44-2.69, 5 Zn 2.50-2.62
Zn: 0.3262 0.3262 0.3358  7 Be 2.49-2.63, 5 Zn 2.50-2.71
Zn: 0.9635 0.9635 0.6103  5 Be 2.44-2.53, 6 Zn 2.50-2.71

Results
Calculated formation energy: 181 meV per atom
Space-group type: No. 8

***

Number 1: DOS(E_F) 3.1 states/eV per cell, electronic total energy -5.57 eV/atom. Number 2: DOS(E_F) 39.1 states/eV per cell, electronic total energy -2.23 eV/atom. Number 3: DOS(E_F) 11.4 states/eV per cell, electronic total energy -10.08 eV/atom. Number 4: DOS(E_F) 4.5 states/eV per cell, electronic total energy -6.63 eV/atom. Number 5: DOS(E_F) 13.4 states/eV per cell, electronic total energy -4.94 eV/atom. Number 6: DOS(E_F) 61.1 states/eV per cell, electronic total energy -6.15 eV/atom. Number 7: DOS(E_F) 4.4 states/eV per cell, electronic total energy -7.10 eV/atom. Number 8: DOS(E_F) 3.8 states/eV per cell, electronic total energy -3.51 eV/atom. Number 9: DOS(E_F) 1.4 states/eV per cell, electronic total energy -4.93 eV/atom. Number 10: DOS(E_F) 1.9 states/eV per cell, electronic total energy -8.70 eV/atom. Number 11: DOS(E_F) 3.7 states/eV per cell, electronic total energy -5.07 eV/atom. Number 12: DOS(E_F) 0.6 states/eV per cell, electronic total energy -2.32 eV/atom.